Compound: Ca4AlTc
Source: Alexandria via LeMat-Bulk
Functional: PBE-GGA
Structure: relaxed

* crystal system: cubic
* energy of formation: 938 meV/atom
* total energy: -65.94 eV/cell
* Fermi-level density of states: 29.18 states/eV/cell

Cell lengths 8.7934, 8.7934, 8.7934 Å; angles 90.00, 90.00, 90.00 degrees
Closest atoms and distances in Å follow each position.
Space group F-43m (No. 216)
One atom of each set of equivalent atoms:
Ca 0.1241 0.1241 0.1241 [16 per cell]  6 Ca 3.09-3.13
Al 0.0000 0.0000 0.5000 [4 per cell]  12 Ca 3.65, 4 Tc 3.81
Tc 0.2500 0.2500 0.7500 [4 per cell]  12 Ca 3.64, 4 Al 3.81